A relaxed Be3Si crystal, computed with PBE.

Summary:
Density of states at the Fermi level, states/eV/cell: 0.9
Energy relative to the elements, uncorrected, kJ per mole of atoms: 28.3
Energy relative to the lowest polymorph listed for this composition, eV/atom: 0.144

```
Be3Si
1.0
2.458 0.000 0.000
0.000 3.408 0.000
0.000 0.000 4.745
Be Si
3 1
Cartesian
0.000 0.000 0.000
1.229 1.704 1.110
1.229 1.704 3.635
0.000 0.000 2.372
```